TbPmSi2 | PBE | relaxed

The energy relative to the elements, uncorrected comes out at -487 meV/atom. The value obtained for the distance to the lowest polymorph of the same formula is 0.312 eV/atom. For the calculated total energy, the calculation gives -5.54 eV/atom.

The space group is R-3m (No. 166, hexagonal axes) and the conventional cell measures 4.6548, 4.6548 and 15.5649 Å, with angles of 90.00, 90.00 and 120.00 degrees. The inequivalent atoms are Tb at (0.0000, 0.0000, 0.0000), Pm at (0.0000, 0.0000, 0.5000) and Si at (0.0000, 0.0000, 0.2553).


TbPmSi2 | PBE | relaxed

The energy relative to the elements, uncorrected comes out at -799 meV/atom. The value obtained for the distance to the lowest polymorph of the same formula is 0.000 eV/atom. For the calculated total energy, the calculation gives -5.86 eV/atom.

The space group is Amm2 (No. 38) and the conventional cell measures 3.885, 4.370 and 10.738 Å, with angles of 90.00, 90.00 and 90.00 degrees. The inequivalent atoms are Tb at (0.000, 0.000, 0.000), Pm at (0.500, 0.000, 0.720), Si at (0.000, 0.000, 0.287) and Si at (0.500, 0.000, 0.436).


TbPm5Si4 | PBE | relaxed

The energy relative to the elements, uncorrected comes out at -504 meV/atom. For the calculated total energy, the calculation gives -5.51 eV/atom.

The space group is C2/m (No. 12) and the conventional cell measures 15.495, 5.044 and 6.920 Å, with angles of 90.00, 90.56 and 90.00 degrees. The inequivalent atoms are Tb at (0.000, 0.000, 0.000), Pm at (0.000, 0.000, 0.500), Pm at (0.164, 0.500, 0.497), Pm at (0.166, 0.500, 0.008), Si at (0.009, 0.500, 0.757) and Si at (0.176, 0.000, 0.250).


Tb4PmSi4 | PBE | relaxed

The energy relative to the elements, uncorrected comes out at -469 meV/atom. For the calculated total energy, the calculation gives -5.47 eV/atom.

The space group is P4_2/n (No. 86, origin choice 2) and the conventional cell measures 9.133, 9.133 and 5.785 Å, with angles of 90.00, 90.00 and 90.00 degrees. The inequivalent atoms are Tb at (0.085, 0.652, 0.127), Pm at (0.250, 0.250, 0.250) and Si at (0.030, 0.606, 0.626).


TbPmSi3 | PBE | relaxed

The energy relative to the elements, uncorrected comes out at -707 meV/atom. For the calculated total energy, the calculation gives -5.84 eV/atom.

The space group is Cmcm (No. 63) and the conventional cell measures 4.238, 24.683 and 3.973 Å, with angles of 90.00, 90.00 and 90.00 degrees. The inequivalent atoms are Tb at (0.000, 0.203, 0.250), Pm at (0.000, 0.070, 0.750), Si at (0.000, 0.322, 0.250), Si at (0.000, 0.380, 0.750) and Si at (0.000, 0.475, 0.750).


Tb2PmSi | PBE | relaxed

The energy relative to the elements, uncorrected comes out at -175 meV/atom. The value obtained for the distance to the lowest polymorph of the same formula is 0.098 eV/atom. For the calculated total energy, the calculation gives -5.03 eV/atom.

The space group is R3m (No. 160, hexagonal axes) and the conventional cell measures 3.7723, 3.7723 and 29.1691 Å, with angles of 90.00, 90.00 and 120.00 degrees. The inequivalent atoms are Tb at (0.0000, 0.0000, 0.0000), Tb at (0.0000, 0.0000, 0.2070), Pm at (0.0000, 0.0000, 0.4380) and Si at (0.0000, 0.0000, 0.6032).


Tb3PmSi2 | PBE | relaxed

The energy relative to the elements, uncorrected comes out at -501 meV/atom. For the calculated total energy, the calculation gives -5.42 eV/atom.

The space group is C2/m (No. 12) and the conventional cell measures 17.118, 4.341 and 9.221 Å, with angles of 90.00, 113.74 and 90.00 degrees. The inequivalent atoms are Tb at (0.047, 0.000, 0.197), Tb at (0.152, 0.500, 0.979), Tb at (0.191, 0.500, 0.385), Pm at (0.115, 0.000, 0.633), Si at (0.010, 0.500, 0.375) and Si at (0.236, 0.000, 0.213).


TbPm3Si3 | PBE | relaxed

The energy relative to the elements, uncorrected comes out at -496 meV/atom. For the calculated total energy, the calculation gives -5.52 eV/atom.

The space group is R3m (No. 160, hexagonal axes) and the conventional cell measures 9.9719, 9.9719 and 6.2268 Å, with angles of 90.00, 90.00 and 120.00 degrees. The inequivalent atoms are Tb at (0.0000, 0.0000, 0.0000), Pm at (0.0392, 0.5196, 0.0770) and Si at (0.9997, 0.4999, 0.5545).


TbPm12Si6 | PBE | relaxed

The energy relative to the elements, uncorrected comes out at -298 meV/atom. For the calculated total energy, the calculation gives -5.25 eV/atom.

The space group is R-3m (No. 166, hexagonal axes) and the conventional cell measures 13.5427, 13.5427 and 10.8070 Å, with angles of 90.00, 90.00 and 120.00 degrees. The inequivalent atoms are Tb at (0.0000, 0.0000, 0.0000), Pm at (0.0000, 0.3777, 0.5000), Pm at (0.0882, 0.1764, 0.3523) and Si at (0.0359, 0.5180, 0.2661).


Tb2PmSi | PBE | relaxed

The energy relative to the elements, uncorrected comes out at -273 meV/atom. The value obtained for the distance to the lowest polymorph of the same formula is 0.000 eV/atom. For the calculated total energy, the calculation gives -5.13 eV/atom.

The space group is Cmcm (No. 63) and the conventional cell measures 5.149, 12.542 and 6.796 Å, with angles of 90.00, 90.00 and 90.00 degrees. The inequivalent atoms are Tb at (0.000, 0.141, 0.022), Pm at (0.000, 0.443, 0.250) and Si at (0.000, 0.324, 0.750).


TbPm4Si2 | PBE | relaxed

The energy relative to the elements, uncorrected comes out at -347 meV/atom. For the calculated total energy, the calculation gives -5.27 eV/atom.

The space group is P4_2/mnm (No. 136) and the conventional cell measures 10.312, 10.312 and 3.632 Å, with angles of 90.00, 90.00 and 90.00 degrees. The inequivalent atoms are Tb at (0.000, 0.000, 0.000), Pm at (0.099, 0.314, 0.500) and Si at (0.162, 0.838, 0.500).


Tb2Pm6Si | PBE | relaxed

The energy relative to the elements, uncorrected comes out at 16 meV/atom. For the calculated total energy, the calculation gives -4.78 eV/atom.

The space group is P-6m2 (No. 187) and the conventional cell measures 3.6265, 3.6265 and 25.6075 Å, with angles of 90.00, 90.00 and 120.00 degrees. The inequivalent atoms are Tb at (0.0000, 0.0000, 0.1804), Pm at (0.0000, 0.0000, 0.4145), Pm at (0.6667, 0.3333, 0.0696), Pm at (0.6667, 0.3333, 0.2947) and Si at (0.6667, 0.3333, 0.5000).


no.,M_tot (Bohr magnetons per cell)
1,0.00
2,0.00
3,0.00
4,0.00
5,0.00
6,0.40
7,0.00
8,0.00
9,0.01
10,0.00
11,0.00
12,0.01